(1)
DFT (PBE) results for a geometry-optimized Sc4W2C3S3 structure.

Cell: 9.9660 5.7811 12.1756 Å, 90.00 105.47 90.00°
With the nearest neighbours (Å) after each atom.
Space group C2/c (No. 15)
Asymmetric unit:
1 Sc 0.1189 0.0725 0.1058 (multiplicity 8)  3 C 2.30-2.32
2 Sc 0.2098 0.0881 0.3940 (multiplicity 8)  3 C 2.29-2.32
3 W 0.0633 0.4096 0.9152 (multiplicity 8)  3 C 2.09-2.15
4 C 0.0794 0.2618 0.5000 (multiplicity 8)  2 W 2.15, 4 Sc 2.29-2.32
5 C 0.2500 0.2500 0.0000 (multiplicity 4)  2 W 2.09, 4 Sc 2.31-2.32
6 S 0.0000 0.1110 0.7500 (multiplicity 4)  4 Sc 2.59-2.61, 2 W 2.60
7 S 0.1567 0.4269 0.2508 (multiplicity 8)  4 Sc 2.58-2.66, 2 W 2.60-2.72

Output
The calculation puts the total energy at -8.637 eV/atom.

***

(2)
DFT (PBE) results for a geometry-optimized TaCd2Fe structure.

Cell: 6.4520 6.4520 6.4520 Å, 90.00 90.00 90.00°
With the nearest neighbours (Å) after each atom.
Space group F-43m (No. 216)
Asymmetric unit:
1 Ta 0.0000 0.0000 0.0000 (multiplicity 4)  4 Cd 2.79, 4 Fe 2.79
2 Cd 0.0000 0.0000 0.5000 (multiplicity 4)  4 Fe 2.79, 4 Cd 2.79
3 Cd 0.2500 0.2500 0.7500 (multiplicity 4)  4 Cd 2.79, 4 Ta 2.79
4 Fe 0.2500 0.2500 0.2500 (multiplicity 4)  4 Ta 2.79, 4 Cd 2.79

Output
Its calculated formation energy is 0.434 eV per atom.

***

(3)
DFT (PBE) results for a geometry-optimized Sc2In3Mo4N3 structure.

Cell: 9.5985 5.5877 14.1050 Å, 90.00 102.74 90.00°
With the nearest neighbours (Å) after each atom.
Space group C2/c (No. 15)
Asymmetric unit:
1 Sc 0.0562 0.0845 0.4095 (multiplicity 8)  3 N 2.17-2.21
2 In 0.0000 0.4545 0.2500 (multiplicity 4)  4 Mo 2.98, 2 Sc 3.01, 4 In 3.03-3.04
3 In 0.1852 0.1049 0.7482 (multiplicity 8)  4 Mo 3.00-3.03, 2 Sc 3.01-3.03, 4 In 3.03-3.05
4 Mo 0.1097 0.4313 0.5730 (multiplicity 8)  3 N 2.12-2.17
5 Mo 0.2182 0.4109 0.9267 (multiplicity 8)  3 N 2.11-2.16
6 N 0.0777 0.2346 0.0000 (multiplicity 8)  4 Mo 2.11-2.17, 2 Sc 2.17-2.18
7 N 0.2500 0.2500 0.5000 (multiplicity 4)  4 Mo 2.12-2.15, 2 Sc 2.21

Output
The calculation puts the total energy at -7.928 eV/atom.

***

(4)
DFT (PBE) results for a geometry-optimized Os structure.

Cell: 4.9022 4.9022 4.9022 Å, 90.00 90.00 90.00°
With the nearest neighbours (Å) after each atom.
Space group Pm-3n (No. 223)
Asymmetric unit:
1 Os 0.0000 0.0000 0.0000 (multiplicity 2)  12 Os 2.74
2 Os 0.0000 0.2500 0.5000 (multiplicity 6)  6 Os 2.45-2.74

Output
Its calculated formation energy is 0.625 eV per atom. For the relative energy among the computed polymorphs, the calculation gives 0.6249 eV/atom.